# 1
Crystalline CeDyErPa at its relaxed geometry, computed with GGA-PBE.

* ΔE_f: 1.45 eV/f.u.
* Fermi-level density of states: 2.830 states/eV/atom

Unit cell a=5.513 b=5.513 c=5.513 alpha=60.00 beta=60.00 gamma=60.00
Element x y z (fractional)
Ce (0.000, 0.000, 0.000)
Dy (0.500, 0.500, 0.500)
Er (0.750, 0.750, 0.750)
Pa (0.250, 0.250, 0.250)



# 2
Crystalline SiCNO2 at its relaxed geometry, computed with GGA-PBE.

* Fermi-level density of states: 0.483 states/eV/atom
* formation energy without anion corrections: 672 meV per atom

Unit cell a=3.435 b=3.435 c=3.725 alpha=90.00 beta=90.00 gamma=90.00
Element x y z (fractional)
Si (0.000, 0.000, 0.000)
C (0.500, 0.500, 0.500)
N (0.000, 0.000, 0.500)
O (0.000, 0.500, 0.000)
O (0.500, 0.000, 0.000)



# 3
Crystalline Na6Hg3O at its relaxed geometry, computed with GGA-PBE.

* Fermi-level density of states: 0.317 states/eV/atom
* formation energy without anion corrections: -471 meV per atom

Unit cell a=6.601 b=8.227 c=10.772 alpha=90.00 beta=114.43 gamma=90.00
Element x y z (fractional)
Na (0.090, 0.051, 0.225)
Na (0.090, 0.449, 0.725)
Na (0.183, 0.745, 0.554)
Na (0.183, 0.755, 0.054)
Na (0.317, 0.135, 0.019)
Na (0.317, 0.365, 0.519)
Na (0.683, 0.635, 0.481)
Na (0.683, 0.865, 0.981)
Na (0.817, 0.245, 0.946)
Na (0.817, 0.255, 0.446)
Na (0.910, 0.551, 0.275)
Na (0.910, 0.949, 0.775)
Hg (0.337, 0.078, 0.719)
Hg (0.337, 0.422, 0.219)
Hg (0.500, 0.000, 0.500)
Hg (0.500, 0.500, 0.000)
Hg (0.663, 0.578, 0.781)
Hg (0.663, 0.922, 0.281)
O (0.000, 0.000, 0.000)
O (0.000, 0.500, 0.500)



# 4
Crystalline Hf2CdCoH at its relaxed geometry, computed with GGA-PBE.

* Fermi-level density of states: 0.694 states/eV/atom
* total DFT energy (no corrections): -5.5444 eV/atom

Unit cell a=4.683 b=4.683 c=4.939 alpha=90.00 beta=90.00 gamma=90.00
Element x y z (fractional)
Hf (0.000, 0.500, 0.000)
Hf (0.500, 0.000, 0.000)
Cd (0.000, 0.000, 0.500)
Co (0.000, 0.000, 0.000)
H (0.500, 0.500, 0.500)



# 5
Crystalline BeAgRh2 at its relaxed geometry, computed with GGA-PBE.

* ΔE_f: -0.28 eV/f.u.
* Fermi-level density of states: 1.020 states/eV/atom

Unit cell a=2.795 b=2.795 c=6.910 alpha=90.00 beta=90.00 gamma=90.00
Element x y z (fractional)
Be (0.000, 0.000, 0.000)
Ag (0.500, 0.500, 0.756)
Rh (0.000, 0.000, 0.451)
Rh (0.500, 0.500, 0.179)



# 6
Crystalline TaAgW2 at its relaxed geometry, computed with GGA-PBE.

* ΔE_f: 1.42 eV/f.u.
* Fermi-level density of states: 0.395 states/eV/atom

Unit cell a=3.271 b=3.271 c=6.371 alpha=90.00 beta=90.00 gamma=90.00
Element x y z (fractional)
Ta (0.000, 0.000, 0.000)
Ag (0.500, 0.500, 0.736)
W (0.000, 0.000, 0.468)
W (0.500, 0.500, 0.244)



# 7
Crystalline MnAlIn at its relaxed geometry, computed with GGA-PBE.

* ΔE_f: 0.31 eV/f.u.
* Fermi-level density of states: 0.372 states/eV/atom

Unit cell a=6.422 b=6.422 c=6.422 alpha=153.69 beta=153.69 gamma=37.55
Element x y z (fractional)
Mn (0.000, 0.000, 0.000)
Al (0.629, 0.629, 0.000)
In (0.332, 0.332, 0.000)



# 8
Crystalline DyTmMgOs at its relaxed geometry, computed with GGA-PBE.

* ΔE_f: -0.94 eV/f.u.
* Fermi-level density of states: 0.657 states/eV/atom

Unit cell a=3.386 b=3.386 c=8.391 alpha=90.00 beta=90.00 gamma=90.00
Element x y z (fractional)
Dy (0.000, 0.000, 0.000)
Tm (0.000, 0.000, 0.608)
Mg (0.500, 0.500, 0.308)
Os (0.500, 0.500, 0.801)



# 9
Crystalline Cs3SrTb2Se6 at its relaxed geometry, computed with GGA-PBE.

* Fermi-level density of states: 0.944 states/eV/atom
* formation energy without anion corrections: -1590 meV per atom

Unit cell a=7.599 b=7.599 c=8.757 alpha=98.33 beta=98.33 gamma=120.02
Element x y z (fractional)
Cs (0.000, 0.000, 0.000)
Cs (0.339, 0.661, 0.000)
Cs (0.661, 0.339, 0.000)
Sr (0.500, 0.500, 0.500)
Tb (0.167, 0.833, 0.500)
Tb (0.833, 0.167, 0.500)
Se (0.082, 0.437, 0.310)
Se (0.208, 0.208, 0.687)
Se (0.437, 0.082, 0.310)
Se (0.563, 0.918, 0.690)
Se (0.792, 0.792, 0.313)
Se (0.918, 0.563, 0.690)



# 10
Crystalline Ac4PtAu2Se at its relaxed geometry, computed with GGA-PBE.

* Fermi-level density of states: 0.857 states/eV/atom
* formation energy without anion corrections: -1116 meV per atom

Unit cell a=7.812 b=4.478 c=7.919 alpha=90.00 beta=108.50 gamma=90.00
Element x y z (fractional)
Ac (0.239, 0.000, 0.232)
Ac (0.243, 0.500, 0.759)
Ac (0.757, 0.500, 0.241)
Ac (0.761, 0.000, 0.768)
Pt (0.000, 0.500, 0.000)
Au (0.500, 0.000, 0.000)
Au (0.500, 0.500, 0.500)
Se (0.000, 0.000, 0.500)